[1]
Ce3NbGe6, optimized geometry, DFT PBE; space group = R-3c, No. 167; ΔH_f (0 K) = -5.90 eV/f.u.
1.0
5.668 3.273 3.834
-5.668 3.273 3.834
0.000 -6.545 3.834
Ce Nb Ge
6 2 12
Cartesian
-3.226 0.957 4.793 Ce
-2.442 -2.315 6.710 Ce
0.784 -3.273 4.793 Ce
-0.784 3.273 6.710 Ce
2.442 2.315 4.793 Ce
3.226 -0.957 6.710 Ce
0.000 0.000 0.000 Nb
0.000 0.000 5.752 Nb
-0.453 -2.038 1.776 Ge
-1.538 1.411 1.776 Ge
-1.538 -1.411 3.976 Ge
1.992 0.627 1.776 Ge
-0.453 2.038 3.976 Ge
1.992 -0.627 3.976 Ge
-1.992 0.627 7.528 Ge
0.453 -2.038 7.528 Ge
-1.992 -0.627 9.727 Ge
1.538 1.411 7.528 Ge
1.538 -1.411 9.727 Ge
0.453 2.038 9.727 Ge

[2]
Ce5NbGe4, optimized geometry, DFT PBE; space group = C2/m, No. 12; ΔH_f (0 K) = -3.31 eV/f.u.
1.0
8.760 -1.987 0.000
8.760 1.987 0.000
-1.705 0.000 7.684
Ce Nb Ge
5 1 4
Cartesian
0.000 0.000 0.000 Ce
4.583 0.000 5.224 Ce
5.600 0.000 1.090 Ce
10.215 0.000 6.593 Ce
11.232 0.000 2.460 Ce
-0.853 0.000 3.842 Nb
1.750 0.000 4.472 Ge
7.488 0.000 5.584 Ge
8.327 0.000 2.100 Ge
14.066 0.000 3.212 Ge

[3]
CeNbGe2Os, optimized geometry, DFT PBE; space group = I-4m2, No. 119; ΔH_f (0 K) = -2.17 eV/f.u.
1.0
4.093 0.000 0.000
0.000 4.093 0.000
0.000 0.000 11.486
Ce Nb Ge Os
2 2 4 2
Cartesian
0.000 0.000 0.000 Ce
2.047 2.047 5.743 Ce
0.000 2.047 8.615 Nb
2.047 0.000 2.872 Nb
0.000 0.000 4.471 Ge
0.000 0.000 7.015 Ge
2.047 2.047 1.272 Ge
2.047 2.047 10.214 Ge
0.000 2.047 2.872 Os
2.047 0.000 8.615 Os

[4]
Ce2NbGe4Pt3, optimized geometry, DFT PBE; space group = P-4m2, No. 115; ΔH_f (0 K) = -8.10 eV/f.u.
1.0
4.302 0.000 0.000
0.000 4.302 0.000
0.000 0.000 10.621
Ce Nb Ge Pt
2 1 4 3
Cartesian
0.000 2.151 2.560 Ce
2.151 0.000 8.061 Ce
0.000 0.000 5.310 Nb
0.000 0.000 0.000 Ge
0.000 2.151 6.812 Ge
2.151 0.000 3.809 Ge
2.151 2.151 0.000 Ge
0.000 2.151 9.295 Pt
2.151 0.000 1.326 Pt
2.151 2.151 5.310 Pt

[5]
Ce2NbGe3Pt4, optimized geometry, DFT PBE; space group = P-4m2, No. 115; ΔH_f (0 K) = -8.36 eV/f.u.
1.0
4.280 0.000 0.000
0.000 4.280 0.000
0.000 0.000 10.668
Ce Nb Ge Pt
2 1 3 4
Cartesian
0.000 2.140 2.549 Ce
2.140 0.000 8.119 Ce
0.000 0.000 5.334 Nb
0.000 2.140 9.267 Ge
2.140 0.000 1.401 Ge
2.140 2.140 5.334 Ge
0.000 0.000 0.000 Pt
0.000 2.140 6.803 Pt
2.140 0.000 3.865 Pt
2.140 2.140 0.000 Pt

[6]
CeNbGe2Rh5, optimized geometry, DFT PBE; space group = P4/mmm, No. 123; ΔH_f (0 K) = -3.77 eV/f.u.
1.0
3.977 0.000 0.000
0.000 3.977 0.000
0.000 0.000 11.122
Ce Nb Ge Rh
1 1 2 5
Cartesian
0.000 0.000 0.000 Ce
0.000 0.000 5.561 Nb
1.989 1.989 2.428 Ge
1.989 1.989 8.694 Ge
0.000 1.989 3.851 Rh
0.000 1.989 7.271 Rh
1.989 0.000 3.851 Rh
1.989 0.000 7.271 Rh
1.989 1.989 0.000 Rh

[7]
Ce2NbGe2Ru5, optimized geometry, DFT PBE; space group = P4/mbm, No. 127; ΔH_f (0 K) = -3.94 eV/f.u.
1.0
10.079 0.000 0.000
0.000 10.079 0.000
0.000 0.000 3.446
Ce Nb Ge Ru
4 2 4 10
Cartesian
1.738 3.302 0.000 Ce
3.302 8.342 0.000 Ce
6.777 1.738 0.000 Ce
8.342 6.777 0.000 Ce
0.000 0.000 0.000 Nb
5.040 5.040 0.000 Nb
1.264 6.304 0.000 Ge
3.776 1.264 0.000 Ge
6.304 8.816 0.000 Ge
8.816 3.776 0.000 Ge
0.000 5.040 1.723 Ru
0.678 8.008 1.723 Ru
2.072 0.678 1.723 Ru
2.968 5.717 1.723 Ru
4.362 2.968 1.723 Ru
5.040 0.000 1.723 Ru
5.717 7.112 1.723 Ru
7.112 4.362 1.723 Ru
8.008 9.402 1.723 Ru
9.402 2.072 1.723 Ru

[8]
CeTaNbGe2, optimized geometry, DFT PBE; space group = I-4m2, No. 119; ΔH_f (0 K) = -2.62 eV/f.u.
1.0
4.083 0.000 0.000
0.000 4.083 0.000
0.000 0.000 12.129
Ce Ta Nb Ge
2 2 2 4
Cartesian
0.000 0.000 0.000 Ce
2.042 2.042 6.064 Ce
0.000 2.042 3.032 Ta
2.042 0.000 9.097 Ta
0.000 2.042 9.097 Nb
2.042 0.000 3.032 Nb
0.000 0.000 4.799 Ge
0.000 0.000 7.330 Ge
2.042 2.042 1.266 Ge
2.042 2.042 10.863 Ge

Number 1: total DFT energy (no corrections) -122.94 eV for the cell shown. Number 2: total DFT energy (no corrections) -61.51 eV for the cell shown. Number 3: total DFT energy (no corrections) -77.27 eV for the cell shown. Number 4: total DFT energy (no corrections) -66.63 eV for the cell shown. Number 5: total DFT energy (no corrections) -68.31 eV for the cell shown. Number 6: total DFT energy (no corrections) -65.77 eV for the cell shown. Number 7: total DFT energy (no corrections) -162.98 eV for the cell shown. Number 8: total DFT energy (no corrections) -79.42 eV for the cell shown.